1.
AcHg6Bi: optimized geometry, PBE.

energy above the lowest structure with this stoichiometry	0.0	meV/atom
DOS(E_F)	0.298	states/eV/atom
energy of formation	-0.23	eV/atom

Cell: 5.295 5.295 8.067 Å, 90.00 90.00 90.00°
Element x y z (fractional)
Ac (0.000, 0.000, 0.000)
Hg (0.000, 0.500, 0.263)
Hg (0.000, 0.500, 0.737)
Hg (0.500, 0.000, 0.263)
Hg (0.500, 0.000, 0.737)
Hg (0.500, 0.500, 0.000)
Hg (0.500, 0.500, 0.500)
Bi (0.000, 0.000, 0.500)

2.
SrAlTl2Bi2: optimized geometry, PBE.

DOS(E_F)	0.469	states/eV/atom
energy of formation	-0.23	eV/atom

Cell: 4.813 10.325 7.978 Å, 90.00 90.00 90.00°
Element x y z (fractional)
Sr (0.000, 0.075, 0.000)
Sr (0.000, 0.925, 0.500)
Al (0.500, 0.159, 0.663)
Al (0.500, 0.841, 0.163)
Tl (0.000, 0.350, 0.294)
Tl (0.000, 0.650, 0.794)
Tl (0.500, 0.453, 0.008)
Tl (0.500, 0.547, 0.508)
Bi (0.000, 0.317, 0.708)
Bi (0.000, 0.683, 0.208)
Bi (0.500, 0.103, 0.300)
Bi (0.500, 0.897, 0.800)

3.
LiIn2CoGe: optimized geometry, PBE.

DOS(E_F)	0.532	states/eV/atom
energy of formation	0.00	eV/atom

Cell: 4.962 4.962 4.477 Å, 90.00 90.00 90.00°
Element x y z (fractional)
Li (0.000, 0.000, 0.000)
In (0.000, 0.500, 0.500)
In (0.500, 0.000, 0.500)
Co (0.500, 0.500, 0.500)
Ge (0.500, 0.500, 0.000)

4.
RbScPb2: optimized geometry, PBE.

energy above the lowest structure with this stoichiometry	356.8	meV/atom
DOS(E_F)	0.282	states/eV/atom
energy of formation	0.12	eV/atom

Cell: 10.713 10.713 10.713 Å, 147.11 147.11 47.20°
Element x y z (fractional)
Rb (0.000, 0.000, 0.000)
Rb (0.750, 0.250, 0.500)
Sc (0.250, 0.750, 0.500)
Sc (0.500, 0.500, 0.000)
Pb (0.284, 0.625, 0.159)
Pb (0.375, 0.534, 0.659)
Pb (0.466, 0.125, 0.841)
Pb (0.875, 0.716, 0.341)

5.
BaZn3Pt: optimized geometry, PBE.

energy above the lowest structure with this stoichiometry	492.4	meV/atom
DOS(E_F)	0.458	states/eV/atom
energy of formation	0.03	eV/atom

Cell: 4.308 4.308 19.359 Å, 90.00 90.00 120.00°
Element x y z (fractional)
Ba (0.000, 0.000, 0.000)
Ba (0.000, 0.000, 0.500)
Zn (0.000, 0.000, 0.250)
Zn (0.000, 0.000, 0.750)
Zn (0.333, 0.667, 0.124)
Zn (0.333, 0.667, 0.376)
Zn (0.667, 0.333, 0.624)
Zn (0.667, 0.333, 0.876)
Pt (0.333, 0.667, 0.250)
Pt (0.667, 0.333, 0.750)

6.
Pr4Fe3C5: optimized geometry, PBE.

DOS(E_F)	0.634	states/eV/atom
energy of formation	-0.11	eV/atom

Cell: 6.088 6.088 9.739 Å, 110.92 110.92 37.05°
Element x y z (fractional)
Pr (0.104, 0.104, 0.397)
Pr (0.254, 0.254, 0.835)
Pr (0.746, 0.746, 0.165)
Pr (0.896, 0.896, 0.603)
Fe (0.000, 0.000, 0.000)
Fe (0.459, 0.459, 0.164)
Fe (0.541, 0.541, 0.836)
C (0.318, 0.318, 0.385)
C (0.399, 0.399, 0.314)
C (0.500, 0.500, 0.000)
C (0.601, 0.601, 0.686)
C (0.682, 0.682, 0.615)

7.
CsNaO4: optimized geometry, PBE.

DOS(E_F)	0.536	states/eV/atom
energy relative to the elements, uncorrected	-0.80	eV/atom

Cell: 7.090 4.156 4.156 Å, 66.73 90.00 90.00°
Element x y z (fractional)
Cs (0.000, 0.000, 0.000)
Na (0.500, 0.399, 0.399)
O (0.309, 0.552, 0.848)
O (0.309, 0.848, 0.552)
O (0.691, 0.552, 0.848)
O (0.691, 0.848, 0.552)

8.
AsPt3Cl: optimized geometry, PBE.

energy above the lowest structure with this stoichiometry	0.0	meV/atom
DOS(E_F)	0.697	states/eV/atom
energy relative to the elements, uncorrected	0.67	eV/atom

Cell: 4.728 4.728 4.728 Å, 90.00 90.00 90.00°
Element x y z (fractional)
As (0.000, 0.000, 0.000)
Pt (0.000, 0.000, 0.500)
Pt (0.000, 0.500, 0.000)
Pt (0.500, 0.000, 0.000)
Cl (0.500, 0.500, 0.500)

9.
Sr2InF: optimized geometry, PBE.

energy above the lowest structure with this stoichiometry	473.4	meV/atom
DOS(E_F)	0.665	states/eV/atom
energy relative to the elements, uncorrected	-1.04	eV/atom

Cell: 5.604 5.604 5.604 Å, 60.00 60.00 60.00°
Element x y z (fractional)
Sr (0.250, 0.250, 0.250)
Sr (0.750, 0.750, 0.750)
In (0.000, 0.000, 0.000)
F (0.500, 0.500, 0.500)

10.
YZrBeSb2: optimized geometry, PBE.

DOS(E_F)	0.471	states/eV/atom
energy relative to the elements, uncorrected	0.19	eV/atom

Cell: 5.492 5.492 4.635 Å, 90.00 90.00 90.00°
Element x y z (fractional)
Y (0.000, 0.000, 0.000)
Zr (0.500, 0.500, 0.500)
Be (0.500, 0.500, 0.000)
Sb (0.000, 0.500, 0.500)
Sb (0.500, 0.000, 0.500)

11.
AcErNi2Ge2: optimized geometry, PBE.

DOS(E_F)	0.853	states/eV/atom
energy of formation	-0.71	eV/atom

Cell: 4.323 4.323 7.513 Å, 90.00 90.00 120.00°
Element x y z (fractional)
Ac (0.000, 0.000, 0.000)
Er (0.000, 0.000, 0.500)
Ni (0.333, 0.667, 0.689)
Ni (0.667, 0.333, 0.311)
Ge (0.333, 0.667, 0.291)
Ge (0.667, 0.333, 0.709)

12.
ZnFe2Ni8: optimized geometry, PBE.

energy above the lowest structure with this stoichiometry	60.6	meV/atom
DOS(E_F)	1.163	states/eV/atom
energy of formation	0.11	eV/atom

Cell: 7.017 7.017 4.296 Å, 107.28 107.28 125.32°
Element x y z (fractional)
Zn (0.000, 0.000, 0.000)
Fe (0.315, 0.685, 0.500)
Fe (0.685, 0.315, 0.500)
Ni (0.105, 0.377, 0.729)
Ni (0.196, 0.804, 0.000)
Ni (0.377, 0.105, 0.729)
Ni (0.467, 0.467, 0.222)
Ni (0.533, 0.533, 0.778)
Ni (0.623, 0.895, 0.271)
Ni (0.804, 0.196, 0.000)
Ni (0.895, 0.623, 0.271)

13.
K3Tm2MgSe6: optimized geometry, PBE.

DOS(E_F)	0.649	states/eV/atom
energy relative to the elements, uncorrected	-1.47	eV/atom

Cell: 7.106 7.106 8.100 Å, 98.41 98.41 120.01°
Element x y z (fractional)
K (0.000, 0.000, 0.000)
K (0.333, 0.667, 0.000)
K (0.667, 0.333, 0.000)
Tm (0.167, 0.833, 0.500)
Tm (0.833, 0.167, 0.500)
Mg (0.500, 0.500, 0.500)
Se (0.102, 0.433, 0.299)
Se (0.237, 0.237, 0.702)
Se (0.433, 0.102, 0.299)
Se (0.567, 0.898, 0.701)
Se (0.763, 0.763, 0.298)
Se (0.898, 0.567, 0.701)

14.
CsNa2Ca: optimized geometry, PBE.

energy above the lowest structure with this stoichiometry	158.9	meV/atom
DOS(E_F)	1.237	states/eV/atom
energy of formation	0.25	eV/atom

Cell: 14.942 14.942 14.942 Å, 15.62 15.62 15.62°
Element x y z (fractional)
Cs (0.000, 0.000, 0.000)
Na (0.418, 0.418, 0.418)
Na (0.582, 0.582, 0.582)
Ca (0.500, 0.500, 0.500)

15.
KTlTc2: optimized geometry, PBE.

energy above the lowest structure with this stoichiometry	400.9	meV/atom
DOS(E_F)	1.010	states/eV/atom
energy of formation	0.89	eV/atom

Cell: 3.556 5.231 6.404 Å, 90.00 97.99 90.00°
Element x y z (fractional)
K (0.000, 0.000, 0.000)
Tl (0.500, 0.000, 0.500)
Tc (0.275, 0.500, 0.613)
Tc (0.725, 0.500, 0.387)

16.
La3TbCu2: optimized geometry, PBE.

DOS(E_F)	0.944	states/eV/atom
energy of formation	-0.11	eV/atom

Cell: 5.071 9.146 7.114 Å, 90.00 90.00 90.00°
Element x y z (fractional)
La (0.000, 0.080, 0.000)
La (0.000, 0.344, 0.355)
La (0.000, 0.656, 0.855)
La (0.000, 0.920, 0.500)
La (0.500, 0.161, 0.645)
La (0.500, 0.839, 0.145)
Tb (0.500, 0.425, 0.007)
Tb (0.500, 0.575, 0.507)
Cu (0.000, 0.350, 0.772)
Cu (0.000, 0.650, 0.272)
Cu (0.500, 0.160, 0.233)
Cu (0.500, 0.840, 0.733)

17.
LaTlZnIn: optimized geometry, PBE.

DOS(E_F)	1.226	states/eV/atom
energy of formation	-0.24	eV/atom

Cell: 5.291 5.291 5.291 Å, 60.00 60.00 60.00°
Element x y z (fractional)
La (0.000, 0.000, 0.000)
Tl (0.250, 0.250, 0.250)
Zn (0.750, 0.750, 0.750)
In (0.500, 0.500, 0.500)

18.
Tb7Ho4Er2: optimized geometry, PBE.

DOS(E_F)	1.290	states/eV/atom
energy of formation	0.17	eV/atom

Cell: 6.048 6.048 13.078 Å, 90.00 90.00 120.00°
Element x y z (fractional)
Tb (0.000, 0.000, 0.000)
Tb (0.000, 0.362, 0.218)
Tb (0.000, 0.638, 0.782)
Tb (0.362, 0.000, 0.218)
Tb (0.362, 0.362, 0.782)
Tb (0.638, 0.000, 0.782)
Tb (0.638, 0.638, 0.218)
Ho (0.000, 0.000, 0.393)
Ho (0.000, 0.000, 0.607)
Ho (0.333, 0.667, 0.500)
Ho (0.667, 0.333, 0.500)
Er (0.333, 0.667, 0.000)
Er (0.667, 0.333, 0.000)

19.
TbTm2Ag6: optimized geometry, PBE.

DOS(E_F)	0.619	states/eV/atom
energy of formation	-0.22	eV/atom

Cell: 8.835 8.835 5.280 Å, 98.32 98.32 75.41°
Element x y z (fractional)
Tb (0.126, 0.874, 0.750)
Tb (0.874, 0.126, 0.250)
Tm (0.209, 0.458, 0.915)
Tm (0.458, 0.209, 0.415)
Tm (0.542, 0.791, 0.585)
Tm (0.791, 0.542, 0.085)
Ag (0.015, 0.759, 0.193)
Ag (0.099, 0.350, 0.358)
Ag (0.241, 0.985, 0.307)
Ag (0.322, 0.567, 0.472)
Ag (0.350, 0.099, 0.858)
Ag (0.433, 0.678, 0.028)
Ag (0.567, 0.322, 0.972)
Ag (0.650, 0.901, 0.142)
Ag (0.678, 0.433, 0.528)
Ag (0.759, 0.015, 0.693)
Ag (0.901, 0.650, 0.642)
Ag (0.985, 0.241, 0.807)

20.
ErPtRhAu: optimized geometry, PBE.

energy above the lowest structure with this stoichiometry	0.0	meV/atom
DOS(E_F)	0.943	states/eV/atom
energy of formation	-0.82	eV/atom

Cell: 3.990 4.165 4.223 Å, 90.00 90.00 90.00°
Element x y z (fractional)
Er (0.000, 0.000, 0.000)
Pt (0.500, 0.000, 0.500)
Rh (0.500, 0.500, 0.000)
Au (0.000, 0.500, 0.500)

21.
Nd6YHo4: optimized geometry, PBE.

energy above the lowest structure with this stoichiometry	15.4	meV/atom
DOS(E_F)	1.520	states/eV/atom
energy of formation	0.30	eV/atom

Cell: 9.646 9.646 9.646 Å, 138.96 138.96 59.44°
Element x y z (fractional)
Nd (0.000, 0.500, 0.500)
Nd (0.013, 0.631, 0.000)
Nd (0.369, 0.369, 0.382)
Nd (0.500, 0.000, 0.500)
Nd (0.631, 0.013, 0.000)
Nd (0.987, 0.987, 0.618)
Y (0.000, 0.000, 0.000)
Ho (0.204, 0.204, 0.647)
Ho (0.442, 0.796, 0.000)
Ho (0.558, 0.558, 0.353)
Ho (0.796, 0.442, 0.000)

22.
Mg5GaPt: optimized geometry, PBE.

DOS(E_F)	0.423	states/eV/atom
energy of formation	-0.08	eV/atom

Cell: 6.896 6.896 9.264 Å, 107.15 107.15 72.53°
Element x y z (fractional)
Mg (0.109, 0.891, 0.750)
Mg (0.214, 0.274, 0.626)
Mg (0.274, 0.214, 0.126)
Mg (0.297, 0.677, 0.040)
Mg (0.323, 0.703, 0.460)
Mg (0.677, 0.297, 0.540)
Mg (0.703, 0.323, 0.960)
Mg (0.726, 0.786, 0.874)
Mg (0.786, 0.726, 0.374)
Mg (0.891, 0.109, 0.250)
Ga (0.444, 0.556, 0.750)
Ga (0.556, 0.444, 0.250)
Pt (0.000, 0.000, 0.000)
Pt (0.000, 0.000, 0.500)

23.
GePb3Au6: optimized geometry, PBE.

DOS(E_F)	0.407	states/eV/atom
energy of formation	-0.01	eV/atom

Cell: 7.077 7.077 7.077 Å, 113.00 113.00 113.00°
Element x y z (fractional)
Ge (0.000, 0.000, 0.000)
Pb (0.112, 0.112, 0.620)
Pb (0.112, 0.620, 0.112)
Pb (0.620, 0.112, 0.112)
Au (0.025, 0.677, 0.677)
Au (0.259, 0.505, 0.505)
Au (0.505, 0.259, 0.505)
Au (0.505, 0.505, 0.259)
Au (0.677, 0.025, 0.677)
Au (0.677, 0.677, 0.025)

24.
Pm8PrIr2: optimized geometry, PBE.

DOS(E_F)	1.385	states/eV/atom
energy of formation	-0.22	eV/atom

Cell: 8.220 8.220 5.735 Å, 95.95 95.95 114.44°
Element x y z (fractional)
Pm (0.099, 0.099, 0.794)
Pm (0.168, 0.427, 0.430)
Pm (0.240, 0.760, 0.000)
Pm (0.427, 0.168, 0.430)
Pm (0.573, 0.832, 0.570)
Pm (0.760, 0.240, 0.000)
Pm (0.832, 0.573, 0.570)
Pm (0.901, 0.901, 0.206)
Pr (0.500, 0.500, 0.000)
Ir (0.195, 0.805, 0.500)
Ir (0.805, 0.195, 0.500)